# PmNdHo6 (PBE, relaxed)
# - E: -4.254 eV per atom
# - Energy above the most stable polymorph in this dataset: 0.220 eV/atom
# - Space-group type: No. 12
data_PmNdHo6
_chemical_formula_sum 'Pm1 Nd1 Ho6'
_cell_length_a 6.087
_cell_length_b 6.087
_cell_length_c 8.526
_cell_angle_alpha 102.27
_cell_angle_beta 102.27
_cell_angle_gamma 67.37
_symmetry_space_group_name_H-M 'P 1'
_symmetry_Int_Tables_number 1
loop_
_symmetry_equiv_pos_as_xyz
'x,y,z'
loop_
_atom_site_label
_atom_site_fract_x
_atom_site_fract_y
_atom_site_fract_z
_atom_site_occupancy
Pm1 0.000 0.000 0.000 1
Nd1 0.000 0.000 0.500 1
Ho1 0.062 0.542 0.200 1
Ho2 0.374 0.374 0.576 1
Ho3 0.458 0.938 0.800 1
Ho4 0.542 0.062 0.200 1
Ho5 0.626 0.626 0.424 1
Ho6 0.938 0.458 0.800 1

# TlCoIr4 (PBE, relaxed)
# - E: -6.814 eV per atom
# - Space-group type: No. 216
data_TlCoIr4
_chemical_formula_sum 'Tl1 Co1 Ir4'
_cell_length_a 5.226
_cell_length_b 5.226
_cell_length_c 5.226
_cell_angle_alpha 60.00
_cell_angle_beta 60.00
_cell_angle_gamma 60.00
_symmetry_space_group_name_H-M 'P 1'
_symmetry_Int_Tables_number 1
loop_
_symmetry_equiv_pos_as_xyz
'x,y,z'
loop_
_atom_site_label
_atom_site_fract_x
_atom_site_fract_y
_atom_site_fract_z
_atom_site_occupancy
Tl1 0.000 0.000 0.000 1
Co1 0.750 0.750 0.750 1
Ir1 0.375 0.375 0.375 1
Ir2 0.375 0.375 0.874 1
Ir3 0.375 0.874 0.375 1
Ir4 0.874 0.375 0.375 1

# ScMo2Ru (PBE, relaxed)
# - E: -9.170 eV per atom
# - Energy above the most stable polymorph in this dataset: 0.257 eV/atom
# - Space-group type: No. 47
data_ScMo2Ru
_chemical_formula_sum 'Sc1 Mo2 Ru1'
_cell_length_a 2.835
_cell_length_b 4.491
_cell_length_c 5.175
_cell_angle_alpha 90.00
_cell_angle_beta 90.00
_cell_angle_gamma 90.00
_symmetry_space_group_name_H-M 'P 1'
_symmetry_Int_Tables_number 1
loop_
_symmetry_equiv_pos_as_xyz
'x,y,z'
loop_
_atom_site_label
_atom_site_fract_x
_atom_site_fract_y
_atom_site_fract_z
_atom_site_occupancy
Sc1 0.000 0.000 0.000 1
Mo1 0.500 0.500 0.252 1
Mo2 0.500 0.500 0.748 1
Ru1 0.000 0.000 0.500 1

# SrFePS2 (PBE, relaxed)
# - E_form (uncorrected): 1147 meV/atom
# - E: -3.615 eV per atom
# - Energy above the most stable polymorph in this dataset: 1.722 eV/atom
# - Space-group type: No. 123
data_SrFePS2
_chemical_formula_sum 'Sr1 Fe1 P1 S2'
_cell_length_a 5.414
_cell_length_b 5.414
_cell_length_c 5.479
_cell_angle_alpha 90.00
_cell_angle_beta 90.00
_cell_angle_gamma 90.00
_symmetry_space_group_name_H-M 'P 1'
_symmetry_Int_Tables_number 1
loop_
_symmetry_equiv_pos_as_xyz
'x,y,z'
loop_
_atom_site_label
_atom_site_fract_x
_atom_site_fract_y
_atom_site_fract_z
_atom_site_occupancy
Sr1 0.000 0.000 0.000 1
Fe1 0.500 0.500 0.500 1
P1 0.000 0.000 0.500 1
S1 0.000 0.500 0.000 1
S2 0.500 0.000 0.000 1

# LiNpTl2F6 (PBE, relaxed)
# - E_form (uncorrected): -2635 meV/atom
# - E: -5.717 eV per atom
# - Space-group type: No. 59
data_LiNpTl2F6
_chemical_formula_sum 'Li2 Np2 Tl4 F12'
_cell_length_a 6.243
_cell_length_b 8.800
_cell_length_c 6.244
_cell_angle_alpha 90.00
_cell_angle_beta 90.00
_cell_angle_gamma 90.00
_symmetry_space_group_name_H-M 'P 1'
_symmetry_Int_Tables_number 1
loop_
_symmetry_equiv_pos_as_xyz
'x,y,z'
loop_
_atom_site_label
_atom_site_fract_x
_atom_site_fract_y
_atom_site_fract_z
_atom_site_occupancy
Li1 0.250 0.250 0.245 1
Li2 0.750 0.750 0.755 1
Np1 0.250 0.750 0.265 1
Np2 0.750 0.250 0.735 1
Tl1 0.250 0.000 0.765 1
Tl2 0.250 0.500 0.765 1
Tl3 0.750 0.000 0.235 1
Tl4 0.750 0.500 0.235 1
F1 0.006 0.250 0.477 1
F2 0.010 0.250 0.992 1
F3 0.250 0.008 0.232 1
F4 0.250 0.492 0.232 1
F5 0.490 0.250 0.992 1
F6 0.494 0.250 0.477 1
F7 0.506 0.750 0.523 1
F8 0.510 0.750 0.008 1
F9 0.750 0.508 0.768 1
F10 0.750 0.992 0.768 1
F11 0.990 0.750 0.008 1
F12 0.994 0.750 0.523 1

# ThZnSi2Pd2 (PBE, relaxed)
# - E_form (uncorrected): -692 meV/atom
# - E: -5.679 eV per atom
# - Space-group type: No. 164
data_ThZnSi2Pd2
_chemical_formula_sum 'Th1 Zn1 Si2 Pd2'
_cell_length_a 4.229
_cell_length_b 4.229
_cell_length_c 6.882
_cell_angle_alpha 90.00
_cell_angle_beta 90.00
_cell_angle_gamma 120.00
_symmetry_space_group_name_H-M 'P 1'
_symmetry_Int_Tables_number 1
loop_
_symmetry_equiv_pos_as_xyz
'x,y,z'
loop_
_atom_site_label
_atom_site_fract_x
_atom_site_fract_y
_atom_site_fract_z
_atom_site_occupancy
Th1 0.000 0.000 0.000 1
Zn1 0.000 0.000 0.500 1
Si1 0.333 0.667 0.726 1
Si2 0.667 0.333 0.274 1
Pd1 0.333 0.667 0.337 1
Pd2 0.667 0.333 0.663 1